No. 1
Entry from Alexandria via LeMat-Bulk: crystalline KCdSnRh2 at its relaxed geometry (PBE-GGA).

The space group is P4/mmm (No. 123) and the conventional cell measures 5.129, 5.129 and 5.294 Å, with angles of 90.00, 90.00 and 90.00 degrees. The asymmetric unit holds K at (0.000, 0.000, 0.000), Cd at (0.500, 0.500, 0.500), Sn at (0.500, 0.500, 0.000) and Rh at (0.000, 0.500, 0.500).

The value obtained for the energy of formation is 435 kJ/mol of formula units.

---

No. 2
Entry from Alexandria via LeMat-Bulk: crystalline KTlCd2Rh at its relaxed geometry (PBE-GGA).

The space group is P4/mmm (No. 123) and the conventional cell measures 5.319, 5.319 and 5.250 Å, with angles of 90.00, 90.00 and 90.00 degrees. The asymmetric unit holds K at (0.000, 0.000, 0.000), Tl at (0.500, 0.500, 0.000), Cd at (0.000, 0.500, 0.500) and Rh at (0.500, 0.500, 0.500).

The value obtained for the energy of formation is -64 kJ/mol of formula units.